Here is a relaxed structure of Zn2InGe2 from Alexandria. Energies are from PBE.

Cell and atoms, written as POSCAR:
```
Zn2InGe2
1.0
-1.6786 -1.1437 -3.8718
1.7430 -3.9875 0.4222
-4.4667 -4.2723 0.7299
Zn Ge In
2 2 1
direct
0.7500 0.2500 0.5000
0.2500 0.7500 0.5000
0.6158 0.6158 0.7685
0.3842 0.3842 0.2315
0.0000 0.0000 0.0000
```

For the energy relative to the elements, the calculation gives 2.72 kcal/mol of atoms. Its excess energy over the best structure of this formula in the dataset is 0 meV/atom. The value obtained for the calculated volume is 20.7 Å³ per atom. Its magnetic moment is 0.00 μB per formula unit. The total energy is -2.79 eV/atom.